{
  "formula": "AgIrSe4",
  "functional": "PBE-GGA",
  "state": "optimized geometry",
  "lattice": [[-3.436, 1.254, -1.106], [1.386, -0.317, -4.666], [-2.497, -6.823, 0.021]],
  "species": ["Ag", "Se", "Ir", "Se", "Se", "Se"],
  "frac_coords": [[0.500, 0.000, 0.500], [0.000, 0.217, 0.316], [0.000, 0.000, 0.000], [0.500, 0.292, 0.895], [0.500, 0.708, 0.105], [0.000, 0.783, 0.684]],
  "final_energy_ev_per_atom": -4.46,
  "space_group": "P2/m (10)",
  "raw_formation_energy_mev_per_atom": -180.5
}